Below is LaMg3F after structural relaxation, with properties calculated at the GGA-PBE level.

Results
* space-group type: Pm-3m, No. 221
* energy above the lowest structure with this stoichiometry: 1.471 eV/atom
* formation energy without anion corrections: 361 kJ/mol of formula units

Cell lengths 6.5872, 6.5872, 6.5872 Å; angles 90.00, 90.00, 90.00 degrees
Atoms (fractional coordinates):
F (0.5000, 0.5000, 0.5000)
Mg (0.0000, 0.0000, 0.5000)
Mg (0.0000, 0.5000, 0.0000)
Mg (0.5000, 0.0000, 0.0000)
La (0.0000, 0.0000, 0.0000)

---

Below is La2MgF after structural relaxation, with properties calculated at the GGA-PBE level.

Results
* space-group type: I-42d, No. 122
* energy above the lowest structure with this stoichiometry: 0.000 eV/atom
* formation energy without anion corrections: -439 kJ/mol of formula units

Cell lengths 7.7313, 7.7313, 6.7307 Å; angles 54.95, 54.95, 90.00 degrees
Atoms (fractional coordinates):
Mg (0.0000, 0.0000, 0.0000)
Mg (0.7500, 0.2500, 0.5000)
La (0.5294, 0.1250, 0.2500)
La (0.3750, 0.4706, 0.7500)
La (0.8750, 0.7794, 0.7500)
La (0.2206, 0.6250, 0.2500)
F (0.5000, 0.5000, 0.0000)
F (0.2500, 0.7500, 0.5000)

---

Below is LaMgF2 after structural relaxation, with properties calculated at the GGA-PBE level.

Results
* space-group type: R-3m, No. 166
* energy above the lowest structure with this stoichiometry: 0.000 eV/atom
* formation energy without anion corrections: -910 kJ/mol of formula units

Cell lengths 7.8441, 7.8441, 7.8441 Å; angles 25.09, 25.09, 25.09 degrees
Atoms (fractional coordinates):
F (0.9080, 0.9080, 0.9080)
F (0.0920, 0.0920, 0.0920)
Mg (0.0000, 0.0000, 0.0000)
La (0.5000, 0.5000, 0.5000)

---

Below is LaMg2F after structural relaxation, with properties calculated at the GGA-PBE level.

Results
* space-group type: I-42d, No. 122
* energy above the lowest structure with this stoichiometry: 0.000 eV/atom
* formation energy without anion corrections: -378 kJ/mol of formula units

Cell lengths 6.6188, 6.6188, 6.6216 Å; angles 60.01, 60.01, 90.00 degrees
Atoms (fractional coordinates):
Mg (0.3774, 0.1250, 0.2500)
Mg (0.3750, 0.6226, 0.7500)
Mg (0.8750, 0.6274, 0.7500)
Mg (0.3726, 0.6250, 0.2500)
La (0.7500, 0.2500, 0.5000)
La (0.0000, 0.0000, 0.0000)
F (0.2500, 0.7500, 0.5000)
F (0.5000, 0.5000, 0.0000)

---

Below is LaMgF2 after structural relaxation, with properties calculated at the GGA-PBE level.

Results
* space-group type: I-42d, No. 122
* energy above the lowest structure with this stoichiometry: 0.223 eV/atom
* formation energy without anion corrections: -824 kJ/mol of formula units

Cell lengths 5.3905, 5.3905, 6.7733 Å; angles 66.55, 66.55, 90.00 degrees
Site moments in Bohr magnetons follow the coordinates.
Atoms (fractional coordinates):
La (0.7500, 0.2500, 0.5000)  0.65
La (0.0000, 0.0000, 0.0000)  0.64
Mg (0.5000, 0.5000, 0.0000)  0.02
Mg (0.2500, 0.7500, 0.5000)  0.02
F (0.5455, 0.1250, 0.2500)  0.06
F (0.2045, 0.6250, 0.2500)  0.06
F (0.8750, 0.7955, 0.7500)  0.06
F (0.3750, 0.4545, 0.7500)  0.06

---

Below is LaMg3F after structural relaxation, with properties calculated at the GGA-PBE level.

Results
* space-group type: Pm-3m, No. 221
* energy above the lowest structure with this stoichiometry: 0.000 eV/atom
* formation energy without anion corrections: -348 kJ/mol of formula units

Cell lengths 4.9218, 4.9218, 4.9218 Å; angles 90.00, 90.00, 90.00 degrees
Atoms (fractional coordinates):
La (0.5000, 0.5000, 0.5000)
Mg (0.0000, 0.5000, 0.0000)
Mg (0.5000, 0.0000, 0.0000)
Mg (0.0000, 0.0000, 0.5000)
F (0.0000, 0.0000, 0.0000)

---

Summary of volume in Å³/f.u.
285.8, 117.3, 76.3, 102.6, 81.3, 119.2
(order as listed above)